# 1
Crystalline CaNb2BiAs at its relaxed geometry, computed with PBE-GGA.

Results
Energy of formation   1.2875 eV per atom
Crystal system   tetragonal

a b c (Å): 5.265 5.265 5.591
angles (deg): 90.00 90.00 90.00
Fractional coordinates of all 5 atoms:
Ca 0.000 0.000 0.000
Nb 0.000 0.500 0.500
Nb 0.500 0.000 0.500
Bi 0.500 0.500 0.500
As 0.500 0.500 0.000

=====

# 2
Crystalline GdScTlBi at its relaxed geometry, computed with PBE-GGA.

Results
Energy of formation   -0.3664 eV per atom
Crystal system   cubic

a b c (Å): 7.561 7.561 7.561
angles (deg): 90.00 90.00 90.00
Fractional coordinates of all 16 atoms:
Gd 0.000 0.000 0.000
Gd 0.000 0.500 0.500
Gd 0.500 0.000 0.500
Gd 0.500 0.500 0.000
Sc 0.000 0.000 0.500
Sc 0.000 0.500 0.000
Sc 0.500 0.000 0.000
Sc 0.500 0.500 0.500
Tl 0.250 0.250 0.250
Tl 0.250 0.750 0.750
Tl 0.750 0.250 0.750
Tl 0.750 0.750 0.250
Bi 0.250 0.250 0.750
Bi 0.250 0.750 0.250
Bi 0.750 0.250 0.250
Bi 0.750 0.750 0.750

=====

# 3
Crystalline NdHo2Mg at its relaxed geometry, computed with PBE-GGA.

Results
Energy of formation   -0.0209 eV per atom
Crystal system   tetragonal

a b c (Å): 3.675 3.675 8.932
angles (deg): 90.00 90.00 90.00
Fractional coordinates of all 4 atoms:
Nd 0.000 0.000 0.000
Ho 0.500 0.500 0.278
Ho 0.500 0.500 0.722
Mg 0.000 0.000 0.500

=====

# 4
Crystalline KCdGa2Sn8 at its relaxed geometry, computed with PBE-GGA.

Results
Energy of formation   0.0454 eV per atom
Crystal system   trigonal

a b c (Å): 10.458 10.458 10.458
angles (deg): 35.56 35.56 35.56
Fractional coordinates of all 12 atoms:
K 0.000 0.000 0.000
Cd 0.500 0.500 0.500
Ga 0.293 0.293 0.293
Ga 0.707 0.707 0.707
Sn 0.016 0.436 0.892
Sn 0.108 0.984 0.564
Sn 0.395 0.395 0.395
Sn 0.436 0.892 0.016
Sn 0.564 0.108 0.984
Sn 0.605 0.605 0.605
Sn 0.892 0.016 0.436
Sn 0.984 0.564 0.108

=====

# 5
Crystalline NiBiPt at its relaxed geometry, computed with PBE-GGA.

Results
Energy of formation   -0.0998 eV per atom
Crystal system   orthorhombic

a b c (Å): 4.192 12.061 4.513
angles (deg): 90.00 90.00 90.00
Fractional coordinates of all 12 atoms:
Ni 0.000 0.000 0.000
Ni 0.000 0.500 0.183
Ni 0.500 0.000 0.683
Ni 0.500 0.500 0.500
Bi 0.000 0.342 0.600
Bi 0.000 0.658 0.600
Bi 0.500 0.158 0.100
Bi 0.500 0.842 0.100
Pt 0.000 0.113 0.507
Pt 0.000 0.887 0.507
Pt 0.500 0.387 0.007
Pt 0.500 0.613 0.007

=====

# 6
Crystalline In2RePb at its relaxed geometry, computed with PBE-GGA.

Results
Energy of formation   0.8613 eV per atom
Crystal system   orthorhombic

a b c (Å): 3.444 5.002 5.068
angles (deg): 90.00 90.00 90.00
Fractional coordinates of all 4 atoms:
In 0.000 0.000 0.000
In 0.500 0.500 0.000
Re 0.000 0.500 0.500
Pb 0.500 0.000 0.500